Version A
! PBE TlHg2Pd4, optimized geometry; values from VASP
! total magnetic moment: 0.0 μB/f.u.
! calculated volume: 19.724 Å³ per atom
&SYSTEM
  ibrav = 0, nat = 7, ntyp = 3
/
ATOMIC_SPECIES
Tl 204.38 Tl.upf
Hg 200.59 Hg.upf
Pd 106.42 Pd.upf
ATOMIC_POSITIONS angstrom
Tl 0.0000 0.0000 0.0000
Hg 3.3868 0.0000 0.0000
Hg 0.0000 3.3868 0.0000
Pd 1.6934 1.6934 -1.5045
Pd 1.6934 -1.6934 1.5045
Pd -1.6934 1.6934 1.5045
Pd 1.6934 1.6934 1.5045
CELL_PARAMETERS angstrom
-3.3868 3.3868 3.0091
3.3868 -3.3868 3.0091
3.3868 3.3868 -3.0091

***

Version B
! PBE TlHg2Pd4, optimized geometry; values from VASP
! total magnetic moment: 0.0 μB/f.u.
! calculated volume: 19.466 Å³ per atom
&SYSTEM
  ibrav = 0, nat = 7, ntyp = 3
/
ATOMIC_SPECIES
Tl 204.38 Tl.upf
Hg 200.59 Hg.upf
Pd 106.42 Pd.upf
ATOMIC_POSITIONS angstrom
Tl 0.0000 0.0000 0.0000
Hg 3.9872 1.5792 2.1320
Hg 3.9872 -1.5792 2.1320
Pd 1.9936 2.0037 0.0000
Pd 1.7311 0.0000 2.1320
Pd 1.9936 -2.0037 0.0000
Pd 6.2433 0.0000 2.1320
CELL_PARAMETERS angstrom
3.9872 -4.0073 0.0000
3.9872 4.0073 0.0000
0.0000 0.0000 4.2640

***

Which one is most stable, and which one is least stable? version B is the most stable of them, while version A is the least stable.